# 1
First-principles (PBE) data for crystalline CeNdPBr at its relaxed geometry, as listed in Alexandria via LeMat-Bulk.

Cell lengths 7.917, 7.917, 7.917 Å; angles 29.74, 29.74, 29.74 degrees
Fractional coordinates of all 4 atoms:
1 Ce 0.000 0.000 0.000
2 Nd 0.195 0.195 0.195
3 P 0.599 0.599 0.599
4 Br 0.430 0.430 0.430

Output
formation energy without anion corrections	-1.4298	eV/atom
space-group type	R3m
raw total energy	-5.88	eV/atom

***

# 2
First-principles (PBE) data for crystalline CeNdRhBr at its relaxed geometry, as listed in Alexandria via LeMat-Bulk.

Cell lengths 8.287, 8.287, 8.287 Å; angles 28.28, 28.28, 28.28 degrees
Fractional coordinates of all 4 atoms:
1 Ce 0.000 0.000 0.000
2 Nd 0.202 0.202 0.202
3 Rh 0.606 0.606 0.606
4 Br 0.434 0.434 0.434

Output
formation energy without anion corrections	-1.0129	eV/atom
space-group type	R3m
raw total energy	-5.94	eV/atom

***

# 3
First-principles (PBE) data for crystalline CeNdSbBr at its relaxed geometry, as listed in Alexandria via LeMat-Bulk.

Cell lengths 5.405, 5.405, 5.405 Å; angles 60.00, 60.00, 60.00 degrees
Fractional coordinates of all 4 atoms:
1 Ce 0.000 0.000 0.000
2 Nd 0.500 0.500 0.500
3 Sb 0.750 0.750 0.750
4 Br 0.250 0.250 0.250

Output
formation energy without anion corrections	-1.0571	eV/atom
space-group type	F-43m
raw total energy	-5.18	eV/atom

***

# 4
First-principles (PBE) data for crystalline CeNdTcBr at its relaxed geometry, as listed in Alexandria via LeMat-Bulk.

Cell lengths 3.726, 4.123, 8.213 Å; angles 80.00, 77.27, 63.82 degrees
Fractional coordinates of all 4 atoms:
1 Ce 0.000 0.000 0.000
2 Nd 0.243 0.091 0.402
3 Tc 0.665 0.485 0.160
4 Br 0.459 0.380 0.693

Output
formation energy without anion corrections	-0.6143	eV/atom
space-group type	P1
raw total energy	-6.30	eV/atom

***

# 5
First-principles (PBE) data for crystalline Ce7NiBr12 at its relaxed geometry, as listed in Alexandria via LeMat-Bulk.

Cell lengths 9.483, 9.483, 9.483 Å; angles 107.81, 107.81, 107.81 degrees
Fractional coordinates of all 20 atoms:
1 Ce 0.000 0.000 0.000
2 Ce 0.178 0.382 0.464
3 Ce 0.382 0.464 0.178
4 Ce 0.464 0.178 0.382
5 Ce 0.536 0.822 0.618
6 Ce 0.618 0.536 0.822
7 Ce 0.822 0.618 0.536
8 Ni 0.500 0.500 0.500
9 Br 0.023 0.342 0.112
10 Br 0.112 0.023 0.342
11 Br 0.185 0.719 0.575
12 Br 0.281 0.425 0.815
13 Br 0.342 0.112 0.023
14 Br 0.425 0.815 0.281
15 Br 0.575 0.185 0.719
16 Br 0.658 0.888 0.977
17 Br 0.719 0.575 0.185
18 Br 0.815 0.281 0.425
19 Br 0.888 0.977 0.658
20 Br 0.977 0.658 0.888

Output
formation energy without anion corrections	-1.4810	eV/atom
space-group type	R-3
raw total energy	-4.85	eV/atom

***

# 6
First-principles (PBE) data for crystalline CeNiBr at its relaxed geometry, as listed in Alexandria via LeMat-Bulk.

Cell lengths 4.106, 4.106, 11.386 Å; angles 100.57, 100.57, 60.00 degrees
Fractional coordinates of all 6 atoms:
1 Ce 0.055 0.055 0.162
2 Ce 0.945 0.945 0.838
3 Ni 0.339 0.339 0.017
4 Ni 0.661 0.661 0.983
5 Br 0.219 0.219 0.663
6 Br 0.781 0.781 0.337

Output
formation energy without anion corrections	-0.9803	eV/atom
space-group type	C2/m
raw total energy	-5.44	eV/atom

***

# 7
First-principles (PBE) data for crystalline Ce4NiBr5 at its relaxed geometry, as listed in Alexandria via LeMat-Bulk.

Cell lengths 9.393, 9.393, 8.680 Å; angles 100.46, 100.46, 24.18 degrees
Fractional coordinates of all 10 atoms:
1 Ce 0.002 0.002 0.213
2 Ce 0.335 0.335 0.937
3 Ce 0.665 0.665 0.063
4 Ce 0.998 0.998 0.787
5 Ni 0.500 0.500 0.000
6 Br 0.166 0.166 0.795
7 Br 0.167 0.167 0.327
8 Br 0.500 0.500 0.500
9 Br 0.833 0.833 0.673
10 Br 0.834 0.834 0.205

Output
formation energy without anion corrections	-1.2686	eV/atom
space-group type	C2/m
raw total energy	-5.06	eV/atom

***

# 8
First-principles (PBE) data for crystalline CeNiBr6 at its relaxed geometry, as listed in Alexandria via LeMat-Bulk.

Cell lengths 7.313, 7.313, 6.621 Å; angles 90.19, 90.19, 120.11 degrees
Fractional coordinates of all 8 atoms:
1 Ce 0.000 0.000 0.000
2 Ni 0.000 0.000 0.500
3 Br 0.000 0.288 0.280
4 Br 0.000 0.712 0.720
5 Br 0.288 0.000 0.280
6 Br 0.288 0.288 0.723
7 Br 0.712 0.000 0.720
8 Br 0.712 0.712 0.277

Output
formation energy without anion corrections	-1.0884	eV/atom
space-group type	C2/m
raw total energy	-3.81	eV/atom

***

# 9
First-principles (PBE) data for crystalline CeNpBr5 at its relaxed geometry, as listed in Alexandria via LeMat-Bulk.

Cell lengths 8.237, 4.152, 13.708 Å; angles 90.00, 92.07, 90.00 degrees
Fractional coordinates of all 14 atoms:
1 Ce 0.084 0.250 0.157
2 Ce 0.916 0.750 0.843
3 Np 0.430 0.750 0.347
4 Np 0.570 0.250 0.653
5 Br 0.061 0.750 0.318
6 Br 0.146 0.250 0.931
7 Br 0.313 0.250 0.485
8 Br 0.347 0.750 0.130
9 Br 0.351 0.750 0.720
10 Br 0.649 0.250 0.280
11 Br 0.653 0.250 0.870
12 Br 0.687 0.750 0.515
13 Br 0.854 0.750 0.069
14 Br 0.939 0.250 0.682

Output
formation energy without anion corrections	-1.5097	eV/atom
space-group type	P2_1/m
raw total energy	-5.40	eV/atom

***

# 10
First-principles (PBE) data for crystalline CeBrO at its relaxed geometry, as listed in Alexandria via LeMat-Bulk.

Cell lengths 3.996, 3.996, 8.839 Å; angles 90.00, 90.00, 90.00 degrees
Fractional coordinates of all 6 atoms:
1 Ce 0.250 0.250 0.139
2 Ce 0.750 0.750 0.861
3 Br 0.250 0.250 0.676
4 Br 0.750 0.750 0.324
5 O 0.250 0.750 0.000
6 O 0.750 0.250 0.000

Output
formation energy without anion corrections	-2.8038	eV/atom
space-group type	P4/nmm
raw total energy	-6.99	eV/atom

***

# 11
First-principles (PBE) data for crystalline CeBrO at its relaxed geometry, as listed in Alexandria via LeMat-Bulk.

Cell lengths 3.920, 3.920, 4.885 Å; angles 90.00, 90.00, 120.00 degrees
Fractional coordinates of all 3 atoms:
1 Ce 0.000 0.000 0.000
2 Br 0.667 0.333 0.500
3 O 0.333 0.667 0.000

Output
formation energy without anion corrections	-2.6557	eV/atom
space-group type	P-6m2
raw total energy	-6.84	eV/atom

***

# 12
First-principles (PBE) data for crystalline CeBr2O at its relaxed geometry, as listed in Alexandria via LeMat-Bulk.

Cell lengths 3.899, 3.899, 8.273 Å; angles 102.83, 102.83, 60.01 degrees
Fractional coordinates of all 4 atoms:
1 Ce 0.000 0.000 0.000
2 Br 0.250 0.250 0.735
3 Br 0.416 0.416 0.265
4 O 0.667 0.667 0.000

Output
formation energy without anion corrections	-2.2674	eV/atom
space-group type	Cm
raw total energy	-5.83	eV/atom

***

# 13
First-principles (PBE) data for crystalline Ce2Br4O at its relaxed geometry, as listed in Alexandria via LeMat-Bulk.

Cell lengths 12.382, 12.382, 3.610 Å; angles 90.00, 90.00, 90.00 degrees
Fractional coordinates of all 14 atoms:
1 Ce 0.097 0.097 0.000
2 Ce 0.403 0.597 0.500
3 Ce 0.597 0.403 0.500
4 Ce 0.903 0.903 0.000
5 Br 0.055 0.275 0.500
6 Br 0.225 0.555 0.000
7 Br 0.275 0.055 0.500
8 Br 0.445 0.775 0.000
9 Br 0.555 0.225 0.000
10 Br 0.725 0.945 0.500
11 Br 0.775 0.445 0.000
12 Br 0.945 0.725 0.500
13 O 0.000 0.000 0.500
14 O 0.500 0.500 0.000

Output
formation energy without anion corrections	-2.0096	eV/atom
space-group type	P4_2/mnm
raw total energy	-5.37	eV/atom

***

# 14
First-principles (PBE) data for crystalline CeBrO at its relaxed geometry, as listed in Alexandria via LeMat-Bulk.

Cell lengths 7.330, 3.965, 9.498 Å; angles 90.00, 90.00, 90.00 degrees
Fractional coordinates of all 12 atoms:
1 Ce 0.180 0.250 0.075
2 Ce 0.320 0.750 0.575
3 Ce 0.680 0.250 0.425
4 Ce 0.820 0.750 0.925
5 Br 0.022 0.750 0.324
6 Br 0.478 0.250 0.824
7 Br 0.522 0.750 0.176
8 Br 0.978 0.250 0.676
9 O 0.125 0.750 0.971
10 O 0.375 0.250 0.471
11 O 0.625 0.750 0.529
12 O 0.875 0.250 0.029

Output
formation energy without anion corrections	-2.6711	eV/atom
space-group type	Pnma
raw total energy	-6.86	eV/atom

***

# 15
First-principles (PBE) data for crystalline CePBrO4 at its relaxed geometry, as listed in Alexandria via LeMat-Bulk.

Cell lengths 6.142, 6.142, 6.587 Å; angles 101.32, 101.32, 69.02 degrees
Fractional coordinates of all 14 atoms:
1 Ce 0.250 0.250 0.155
2 Ce 0.750 0.750 0.845
3 P 0.364 0.364 0.737
4 P 0.636 0.636 0.263
5 Br 0.019 0.019 0.756
6 Br 0.981 0.981 0.244
7 O 0.139 0.489 0.849
8 O 0.295 0.295 0.502
9 O 0.480 0.480 0.229
10 O 0.489 0.139 0.849
11 O 0.511 0.861 0.151
12 O 0.520 0.520 0.771
13 O 0.705 0.705 0.498
14 O 0.861 0.511 0.151

Output
formation energy without anion corrections	-2.5277	eV/atom
space-group type	C2/m
raw total energy	-7.22	eV/atom

***

# 16
First-principles (PBE) data for crystalline CePb2BrO4 at its relaxed geometry, as listed in Alexandria via LeMat-Bulk.

Cell lengths 3.987, 3.987, 9.368 Å; angles 90.00, 90.00, 90.00 degrees
Fractional coordinates of all 8 atoms:
1 Ce 0.000 0.000 0.000
2 Pb 0.500 0.500 0.273
3 Pb 0.500 0.500 0.727
4 Br 0.000 0.000 0.500
5 O 0.000 0.500 0.141
6 O 0.000 0.500 0.859
7 O 0.500 0.000 0.141
8 O 0.500 0.000 0.859

Output
formation energy without anion corrections	-1.8723	eV/atom
space-group type	P4/mmm
raw total energy	-6.23	eV/atom

***

# 17
First-principles (PBE) data for crystalline CePb2Br3O3 at its relaxed geometry, as listed in Alexandria via LeMat-Bulk.

Cell lengths 7.869, 7.869, 3.688 Å; angles 90.00, 90.00, 120.00 degrees
Fractional coordinates of all 9 atoms:
1 Ce 0.000 0.000 0.000
2 Pb 0.333 0.667 0.500
3 Pb 0.667 0.333 0.500
4 Br 0.000 0.413 0.000
5 Br 0.413 0.000 0.000
6 Br 0.587 0.587 0.000
7 O 0.000 0.806 0.500
8 O 0.194 0.194 0.500
9 O 0.806 0.000 0.500

Output
formation energy without anion corrections	-1.1997	eV/atom
space-group type	P-62m
raw total energy	-4.89	eV/atom

***

# 18
First-principles (PBE) data for crystalline CePu2BrO4 at its relaxed geometry, as listed in Alexandria via LeMat-Bulk.

Cell lengths 3.979, 3.979, 9.136 Å; angles 90.00, 90.00, 90.00 degrees
Fractional coordinates of all 8 atoms:
1 Ce 0.000 0.000 0.000
2 Pu 0.500 0.500 0.270
3 Pu 0.500 0.500 0.730
4 Br 0.000 0.000 0.500
5 O 0.000 0.500 0.156
6 O 0.000 0.500 0.844
7 O 0.500 0.000 0.156
8 O 0.500 0.000 0.844

Output
formation energy without anion corrections	-2.9006	eV/atom
space-group type	P4/mmm
raw total energy	-9.91	eV/atom

***

# 19
First-principles (PBE) data for crystalline Rb2CeBr2O2 at its relaxed geometry, as listed in Alexandria via LeMat-Bulk.

Cell lengths 9.628, 9.628, 9.628 Å; angles 152.91, 152.91, 38.69 degrees
Fractional coordinates of all 7 atoms:
1 Rb 0.124 0.124 0.000
2 Rb 0.876 0.876 0.000
3 Ce 0.500 0.500 0.000
4 Br 0.333 0.333 0.000
5 Br 0.667 0.667 0.000
6 O 0.000 0.500 0.500
7 O 0.500 0.000 0.500

Output
formation energy without anion corrections	-2.2484	eV/atom
space-group type	I4/mmm
raw total energy	-5.27	eV/atom

***

# 20
First-principles (PBE) data for crystalline CeSBrO4 at its relaxed geometry, as listed in Alexandria via LeMat-Bulk.

Cell lengths 6.265, 6.265, 6.726 Å; angles 100.89, 100.89, 69.88 degrees
Fractional coordinates of all 14 atoms:
1 Ce 0.237 0.237 0.150
2 Ce 0.763 0.763 0.850
3 S 0.366 0.366 0.741
4 S 0.634 0.634 0.259
5 Br 0.026 0.026 0.756
6 Br 0.974 0.974 0.244
7 O 0.156 0.486 0.849
8 O 0.297 0.297 0.523
9 O 0.486 0.156 0.849
10 O 0.489 0.489 0.234
11 O 0.511 0.511 0.766
12 O 0.514 0.844 0.151
13 O 0.703 0.703 0.477
14 O 0.844 0.514 0.151

Output
formation energy without anion corrections	-2.0033	eV/atom
space-group type	C2/m
raw total energy	-6.51	eV/atom

***

# 21
First-principles (PBE) data for crystalline Ce2SBr2O at its relaxed geometry, as listed in Alexandria via LeMat-Bulk.

Cell lengths 4.031, 11.469, 7.239 Å; angles 90.00, 90.00, 90.00 degrees
Fractional coordinates of all 12 atoms:
1 Ce 0.000 0.068 0.000
2 Ce 0.000 0.932 0.500
3 Ce 0.500 0.217 0.410
4 Ce 0.500 0.783 0.910
5 S 0.500 0.054 0.701
6 S 0.500 0.946 0.201
7 Br 0.000 0.385 0.549
8 Br 0.000 0.615 0.049
9 Br 0.500 0.277 0.017
10 Br 0.500 0.723 0.517
11 O 0.000 0.127 0.339
12 O 0.000 0.873 0.839

Output
formation energy without anion corrections	-2.3288	eV/atom
space-group type	Pmc2_1
raw total energy	-6.38	eV/atom